# 1
A geometry-optimized HfCoCuAs structure, computed with GGA-PBE.

Summary:
E above lowest polymorph, eV/f.u.: 0.34
Total magnetization, μB/f.u.: 0.38
Theoretical density, Mg/m³: 10.53
Total energy, eV for the cell shown: -25.7
SG: F-43m, No. 216

Lattice parameters (Å, degrees): 4.377 4.377 4.377 60.00 60.00 60.00
Fractional coordinates of all 4 atoms:
Hf (0.000, 0.000, 0.000)
Co (0.750, 0.750, 0.750)
Cu (0.500, 0.500, 0.500)
As (0.250, 0.250, 0.250)



# 2
A geometry-optimized BeTcB2 structure, computed with GGA-PBE.

Summary:
Total magnetization, μB/f.u.: 0.00
Theoretical density, Mg/m³: 6.16
Total energy, eV for the cell shown: -24.3
SG: F-43m, No. 216

Lattice parameters (Å, degrees): 3.660 3.660 3.660 60.00 60.00 60.00
Fractional coordinates of all 4 atoms:
Be (0.000, 0.000, 0.000)
Tc (0.750, 0.750, 0.750)
B (0.250, 0.250, 0.250)
B (0.500, 0.500, 0.500)



# 3
A geometry-optimized HfReSi2 structure, computed with GGA-PBE.

Summary:
Total magnetization, μB/f.u.: 0.00
Theoretical density, Mg/m³: 11.22
Total energy, eV for the cell shown: -427.9
SG: Pbam, No. 55

Lattice parameters (Å, degrees): 9.173 10.058 8.103 90.00 90.00 90.00
Fractional coordinates of all 48 atoms:
Hf (0.170, 0.180, 0.000)
Hf (0.175, 0.452, 0.247)
Hf (0.175, 0.452, 0.753)
Hf (0.325, 0.952, 0.247)
Hf (0.325, 0.952, 0.753)
Hf (0.330, 0.680, 0.000)
Hf (0.670, 0.320, 0.000)
Hf (0.675, 0.048, 0.247)
Hf (0.675, 0.048, 0.753)
Hf (0.825, 0.548, 0.247)
Hf (0.825, 0.548, 0.753)
Hf (0.830, 0.820, 0.000)
Re (0.000, 0.000, 0.245)
Re (0.000, 0.000, 0.755)
Re (0.085, 0.739, 0.249)
Re (0.085, 0.739, 0.751)
Re (0.415, 0.239, 0.249)
Re (0.415, 0.239, 0.751)
Re (0.500, 0.500, 0.245)
Re (0.500, 0.500, 0.755)
Re (0.585, 0.761, 0.249)
Re (0.585, 0.761, 0.751)
Re (0.915, 0.261, 0.249)
Re (0.915, 0.261, 0.751)
Si (0.034, 0.614, 0.000)
Si (0.035, 0.615, 0.500)
Si (0.126, 0.904, 0.500)
Si (0.131, 0.899, 0.000)
Si (0.166, 0.181, 0.354)
Si (0.166, 0.181, 0.646)
Si (0.334, 0.681, 0.354)
Si (0.334, 0.681, 0.646)
Si (0.369, 0.399, 0.000)
Si (0.374, 0.404, 0.500)
Si (0.465, 0.115, 0.500)
Si (0.466, 0.114, 0.000)
Si (0.534, 0.886, 0.000)
Si (0.535, 0.885, 0.500)
Si (0.626, 0.596, 0.500)
Si (0.631, 0.601, 0.000)
Si (0.666, 0.319, 0.354)
Si (0.666, 0.319, 0.646)
Si (0.834, 0.819, 0.354)
Si (0.834, 0.819, 0.646)
Si (0.869, 0.101, 0.000)
Si (0.874, 0.096, 0.500)
Si (0.965, 0.385, 0.500)
Si (0.966, 0.386, 0.000)



# 4
A geometry-optimized Gd2SiNi structure, computed with GGA-PBE.

Summary:
E above lowest polymorph, eV/f.u.: 0.12
Total magnetization, μB/f.u.: 0.00
Theoretical density, Mg/m³: 7.71
Total energy, eV for the cell shown: -45.3
SG: P2_1/m, No. 11

Lattice parameters (Å, degrees): 5.657 3.889 7.854 90.00 91.02 90.00
Fractional coordinates of all 8 atoms:
Gd (0.121, 0.250, 0.193)
Gd (0.377, 0.250, 0.669)
Gd (0.623, 0.750, 0.331)
Gd (0.879, 0.750, 0.807)
Si (0.374, 0.750, 0.965)
Si (0.626, 0.250, 0.035)
Ni (0.119, 0.750, 0.468)
Ni (0.881, 0.250, 0.532)



# 5
A geometry-optimized PaPtNO structure, computed with GGA-PBE.

Summary:
E above lowest polymorph, eV/f.u.: 1.26
Total magnetization, μB/f.u.: 0.00
Theoretical density, Mg/m³: 13.24
Total energy, eV for the cell shown: -63.2
SG: P4/nmm, No. 129

Lattice parameters (Å, degrees): 5.150 5.150 4.313 90.00 90.00 90.00
Fractional coordinates of all 8 atoms:
Pa (0.250, 0.750, 0.000)
Pa (0.750, 0.250, 0.000)
Pt (0.250, 0.250, 0.363)
Pt (0.750, 0.750, 0.637)
N (0.250, 0.250, 0.893)
N (0.750, 0.750, 0.107)
O (0.250, 0.750, 0.500)
O (0.750, 0.250, 0.500)



# 6
A geometry-optimized Sc2GeAu structure, computed with GGA-PBE.

Summary:
Total magnetization, μB/f.u.: 2.08
Theoretical density, Mg/m³: 7.64
Total energy, eV for the cell shown: -21.3
SG: F-43m, No. 216

Lattice parameters (Å, degrees): 4.799 4.799 4.799 60.00 60.00 60.00
Fractional coordinates of all 4 atoms:
Sc (0.000, 0.000, 0.000)
Sc (0.250, 0.250, 0.250)
Ge (0.500, 0.500, 0.500)
Au (0.750, 0.750, 0.750)